Computed, not measured: a relaxed structure of LaDyNi10 at the PBE level of DFT.

```
data_LaDyNi10
_cell_length_a 3.967
_cell_length_b 4.938
_cell_length_c 8.552
_cell_angle_alpha 90.00
_cell_angle_beta 90.00
_cell_angle_gamma 90.00
_symmetry_space_group_name_H-M 'P 1'
_symmetry_Int_Tables_number 1
_symmetry_space_group_name_Hall 'P 1'
loop_
_atom_site_label
_atom_site_fract_x
_atom_site_fract_y
_atom_site_fract_z
La1 0.000 0.000 0.000
Dy1 0.000 0.500 0.500
Ni1 0.000 0.000 0.338
Ni2 0.000 0.000 0.662
Ni3 0.000 0.500 0.171
Ni4 0.000 0.500 0.829
Ni5 0.500 0.000 0.500
Ni6 0.500 0.253 0.256
Ni7 0.500 0.253 0.744
Ni8 0.500 0.500 0.000
Ni9 0.500 0.747 0.256
Ni10 0.500 0.747 0.744
```

Output
Energy relative to the elements (eV per atom): -0.304